(1)
The following is a DFT calculation (PBE) of a relaxed structure of PaCuBi3.

```
PaCuBi3
1.0
4.889 0.000 0.000
0.000 2.222 6.323
0.000 -2.222 6.323
Pa Cu Bi
1 1 3
direct
0.000 0.000 0.000 Pa
0.000 0.658 0.658 Cu
0.000 0.295 0.295 Bi
0.500 0.545 0.545 Bi
0.500 0.817 0.817 Bi
```

Formation enthalpy at 0 K = 0.05 eV per atom

***

(2)
The following is a DFT calculation (PBE) of a relaxed structure of YZr2Ru.

```
YZr2Ru
1.0
3.340 0.000 0.000
0.000 3.340 0.000
0.000 0.000 7.945
Y Zr Ru
1 2 1
direct
0.000 0.000 0.000 Y
0.000 0.000 0.580 Zr
0.500 0.500 0.319 Zr
0.500 0.500 0.768 Ru
```

Relative energy among the computed polymorphs = 0.052 eV per atom
Formation enthalpy at 0 K = -0.22 eV per atom

***

(3)
The following is a DFT calculation (PBE) of a relaxed structure of NbVReOs.

```
NbVReOs
1.0
0.000 3.124 3.124
3.124 0.000 3.124
3.124 3.124 0.000
Nb V Re Os
1 1 1 1
direct
0.000 0.000 0.000 Nb
0.500 0.500 0.500 V
0.250 0.250 0.250 Re
0.750 0.750 0.750 Os
```

Formation enthalpy at 0 K = -0.21 eV per atom

***

(4)
The following is a DFT calculation (PBE) of a relaxed structure of Li2TeCl.

```
Li2TeCl
1.0
3.035 -1.845 0.000
3.035 1.845 0.000
-2.082 0.000 7.143
Li Te Cl
2 1 1
direct
0.237 0.237 0.205 Li
0.763 0.763 0.795 Li
0.000 0.000 0.500 Te
0.500 0.500 0.000 Cl
```

Relative energy among the computed polymorphs = 0.000 eV per atom
Formation energy from raw total energies = -1.211 eV/atom

***

(5)
The following is a DFT calculation (PBE) of a relaxed structure of CsRbMnCl6.

```
CsRbMnCl6
1.0
7.645 0.000 0.000
-3.822 6.621 0.000
0.000 0.000 6.792
Cs Rb Mn Cl
1 1 1 6
direct
0.000 0.000 0.000 Cs
0.667 0.333 0.500 Rb
0.333 0.667 0.500 Mn
0.090 0.421 0.303 Cl
0.090 0.669 0.697 Cl
0.331 0.421 0.697 Cl
0.331 0.910 0.303 Cl
0.579 0.669 0.303 Cl
0.579 0.910 0.697 Cl
```

Formation energy from raw total energies = -1.363 eV/atom

***

(6)
The following is a DFT calculation (PBE) of a relaxed structure of Cs2Te13.

```
Cs2Te13
1.0
7.362 0.000 0.000
0.000 14.132 0.000
0.000 0.000 23.650
Cs Te
8 52
direct
0.122 0.250 0.000 Cs
0.122 0.250 0.500 Cs
0.362 0.515 0.250 Cs
0.362 0.985 0.750 Cs
0.638 0.015 0.250 Cs
0.638 0.485 0.750 Cs
0.878 0.750 0.000 Cs
0.878 0.750 0.500 Cs
0.065 0.041 0.602 Te
0.065 0.041 0.898 Te
0.065 0.459 0.102 Te
0.065 0.459 0.398 Te
0.105 0.632 0.750 Te
0.105 0.868 0.250 Te
0.183 0.748 0.655 Te
0.183 0.748 0.845 Te
0.183 0.752 0.155 Te
0.183 0.752 0.345 Te
0.260 0.160 0.165 Te
0.260 0.160 0.335 Te
0.260 0.340 0.665 Te
0.260 0.340 0.835 Te
0.292 0.593 0.050 Te
0.292 0.593 0.450 Te
0.292 0.907 0.550 Te
0.292 0.907 0.950 Te
0.305 0.023 0.071 Te
0.305 0.023 0.429 Te
0.305 0.477 0.571 Te
0.305 0.477 0.929 Te
0.459 0.183 0.628 Te
0.459 0.183 0.872 Te
0.459 0.317 0.128 Te
0.459 0.317 0.372 Te
0.541 0.683 0.628 Te
0.541 0.683 0.872 Te
0.541 0.817 0.128 Te
0.541 0.817 0.372 Te
0.695 0.523 0.071 Te
0.695 0.523 0.429 Te
0.695 0.977 0.571 Te
0.695 0.977 0.929 Te
0.708 0.093 0.050 Te
0.708 0.093 0.450 Te
0.708 0.407 0.550 Te
0.708 0.407 0.950 Te
0.740 0.660 0.165 Te
0.740 0.660 0.335 Te
0.740 0.840 0.665 Te
0.740 0.840 0.835 Te
0.817 0.248 0.655 Te
0.817 0.248 0.845 Te
0.817 0.252 0.155 Te
0.817 0.252 0.345 Te
0.895 0.132 0.750 Te
0.895 0.368 0.250 Te
0.935 0.541 0.602 Te
0.935 0.541 0.898 Te
0.935 0.959 0.102 Te
0.935 0.959 0.398 Te
```

Formation energy from raw total energies = -0.264 eV/atom

***

What did we get for calculated volume? Answer: 27.5 22.2 15.2 20.0 38.2 41.0 Å³/atom, in the order shown.
What did we get for final energy? Answer: -24.976 -33.704 -43.700 -13.661 -34.337 -46.509 eV/f.u., in the order shown.